{"formula": "In3CuHg", "functional": "PBE", "state": "relaxed", "spacegroup": "Pm-3m, No. 221", "total_magnetization_mub_per_fu": 0.00, "e_form_ev_per_atom": 0.11, "relative_energy_ev_per_fu": 0.245, "e_tot_ev_per_atom": -2.4156, "lattice": [[5.130, 0.000, 0.000], [0.000, 5.130, 0.000], [0.000, 0.000, 5.130]], "species": ["In", "In", "In", "Cu", "Hg"], "frac_coords": [[0.000, 0.000, 0.500], [0.000, 0.500, 0.000], [0.500, 0.000, 0.000], [0.000, 0.000, 0.000], [0.500, 0.500, 0.500]]}